Model w:
Below is a relaxed FeReSb2 crystal, with properties calculated at the PBE level.

Cell and atoms, written as extended XYZ:
```
4
Lattice="1.5467 0.8930 10.4023 -1.5467 0.8930 10.4023 0.0000 -1.7860 10.4023" Properties=species:S:1:pos:R:3 pbc="T T T"
Fe 0.0000 0.0000 0.0000
Re 0.0000 0.0000 8.5179
Sb 0.0000 0.0000 16.7752
Sb 0.0000 0.0000 22.8625
```

Calculated values
* space-group type: R3m
* N(E_F): 0.77 states/eV per atom

---

Model x:
Below is a relaxed FeReSb2 crystal, with properties calculated at the PBE level.

Cell and atoms, written as extended XYZ:
```
4
Lattice="4.4384 0.0000 0.0000 0.0000 1.7100 4.8876 0.0000 -1.7100 4.8876" Properties=species:S:1:pos:R:3 pbc="T T T"
Fe 0.0000 0.0000 0.0000
Re 2.2192 0.0000 8.3680
Sb 0.0000 0.0000 2.7356
Sb 2.2192 0.0000 5.6060
```

Calculated values
* space-group type: Amm2
* N(E_F): 0.83 states/eV per atom

---

Model y:
Below is a relaxed FeReSb2 crystal, with properties calculated at the PBE level.

Cell and atoms, written as extended XYZ:
```
4
Lattice="3.2218 0.0000 0.0000 0.0000 4.9173 0.0000 0.0000 0.0000 4.5230" Properties=species:S:1:pos:R:3 pbc="T T T"
Fe 0.0000 0.0000 0.0000
Re 1.6109 2.4586 3.4617
Sb 0.0000 2.4586 1.1320
Sb 1.6109 0.0000 2.3296
```

Calculated values
* space-group type: Pmm2
* N(E_F): 0.81 states/eV per atom

---

Which structure is most stable? model x, by 91 meV per atom over the runner-up.

---

Model w:
Below is a relaxed FeReSb crystal, with properties calculated at the PBE level.

Cell and atoms, written as extended XYZ:
```
3
Lattice="2.9965 0.0000 0.0000 -1.4983 2.5951 0.0000 0.0000 0.0000 6.2860" Properties=species:S:1:pos:R:3 pbc="T T T"
Fe 0.0000 0.0000 0.0000
Re 1.4983 0.8650 1.8407
Sb 0.0000 1.7301 4.1458
```

Calculated values
* space-group type: P3m1
* N(E_F): 1.09 states/eV per atom

---

Model x:
Below is a relaxed FeReSb crystal, with properties calculated at the PBE level.

Cell and atoms, written as extended XYZ:
```
3
Lattice="0.0000 2.9310 2.9310 2.9310 0.0000 2.9310 2.9310 2.9310 0.0000" Properties=species:S:1:pos:R:3 pbc="T T T"
Fe 0.0000 0.0000 0.0000
Re 1.4655 1.4655 1.4655
Sb 4.3966 4.3966 4.3966
```

Calculated values
* space-group type: F-43m
* N(E_F): 1.37 states/eV per atom

---

Model y:
Below is a relaxed FeReSb crystal, with properties calculated at the PBE level.

Cell and atoms, written as extended XYZ:
```
3
Lattice="-1.6526 1.6526 4.4097 1.6526 -1.6526 4.4097 1.6526 1.6526 -4.4097" Properties=species:S:1:pos:R:3 pbc="T T T"
Fe 0.0000 0.0000 0.0000
Re 0.0000 0.0000 3.0690
Sb 0.0000 0.0000 5.9266
```

Calculated values
* space-group type: I4mm
* N(E_F): 1.14 states/eV per atom

---

Which structure is most stable? model x, by 101 meV per atom over the runner-up.

---

Model w:
Below is a relaxed Fe3ReSb crystal, with properties calculated at the PBE level.

Cell and atoms, written as extended XYZ:
```
5
Lattice="4.6032 0.0000 0.0000 0.0000 4.6032 0.0000 0.0000 0.0000 4.6032" Properties=species:S:1:pos:R:3 pbc="T T T"
Fe 0.0000 0.0000 2.3016
Fe 0.0000 2.3016 0.0000
Fe 2.3016 0.0000 0.0000
Re 2.3016 2.3016 2.3016
Sb 0.0000 0.0000 0.0000
```

Calculated values
* space-group type: Pm-3m
* N(E_F): 0.91 states/eV per atom

---

Model x:
Below is a relaxed Fe3ReSb crystal, with properties calculated at the PBE level.

Cell and atoms, written as extended XYZ:
```
5
Lattice="4.5560 0.0000 0.0000 0.0000 4.5560 0.0000 0.0000 0.0000 4.5560" Properties=species:S:1:pos:R:3 pbc="T T T"
Fe 0.0000 0.0000 2.2780
Fe 0.0000 2.2780 0.0000
Fe 2.2780 0.0000 0.0000
Re 0.0000 0.0000 0.0000
Sb 2.2780 2.2780 2.2780
```

Calculated values
* space-group type: Pm-3m
* N(E_F): 1.95 states/eV per atom

---

Which structure is most stable? model x, by 634 meV per atom over the runner-up.

---

Model w:
Below is a relaxed FeReSbTe2 crystal, with properties calculated at the PBE level.

Cell and atoms, written as extended XYZ:
```
5
Lattice="5.8481 0.0000 0.0000 0.0000 5.8481 0.0000 0.0000 0.0000 4.7672" Properties=species:S:1:pos:R:3 pbc="T T T"
Fe 0.0000 0.0000 0.0000
Re 2.9240 2.9240 0.0000
Sb 0.0000 0.0000 2.3836
Te 0.0000 2.9240 2.3836
Te 2.9240 0.0000 2.3836
```

Calculated values
* space-group type: P4/mmm
* N(E_F): 1.23 states/eV per atom

---

Model x:
Below is a relaxed FeReSbTe2 crystal, with properties calculated at the PBE level.

Cell and atoms, written as extended XYZ:
```
5
Lattice="4.8582 0.0000 0.0000 0.0000 4.8582 0.0000 0.0000 0.0000 4.7604" Properties=species:S:1:pos:R:3 pbc="T T T"
Fe 0.0000 0.0000 0.0000
Re 2.4291 2.4291 2.3802
Sb 0.0000 0.0000 2.3802
Te 0.0000 2.4291 0.0000
Te 2.4291 0.0000 0.0000
```

Calculated values
* space-group type: P4/mmm
* N(E_F): 1.31 states/eV per atom

---

Model y:
Below is a relaxed FeReSbTe2 crystal, with properties calculated at the PBE level.

Cell and atoms, written as extended XYZ:
```
5
Lattice="5.2763 0.0000 0.0000 0.0000 5.2763 0.0000 0.0000 0.0000 5.1623" Properties=species:S:1:pos:R:3 pbc="T T T"
Fe 0.0000 0.0000 0.0000
Re 2.6382 2.6382 2.5812
Sb 2.6382 2.6382 0.0000
Te 0.0000 2.6382 2.5812
Te 2.6382 0.0000 2.5812
```

Calculated values
* space-group type: P4/mmm
* N(E_F): 1.80 states/eV per atom

---

Which structure is most stable? model y, by 114 meV per atom over the runner-up.

---

Model w:
Below is a relaxed FeReSb2Te crystal, with properties calculated at the PBE level.

Cell and atoms, written as extended XYZ:
```
5
Lattice="5.1609 0.0000 0.0000 0.0000 5.1609 0.0000 0.0000 0.0000 5.1750" Properties=species:S:1:pos:R:3 pbc="T T T"
Fe 0.0000 0.0000 0.0000
Re 2.5804 2.5804 2.5875
Sb 0.0000 2.5804 2.5875
Sb 2.5804 0.0000 2.5875
Te 2.5804 2.5804 0.0000
```

Calculated values
* space-group type: P4/mmm
* N(E_F): 2.14 states/eV per atom

---

Model x:
Below is a relaxed FeReSb2Te crystal, with properties calculated at the PBE level.

Cell and atoms, written as extended XYZ:
```
5
Lattice="4.7683 0.0000 0.0000 0.0000 4.7683 0.0000 0.0000 0.0000 4.8956" Properties=species:S:1:pos:R:3 pbc="T T T"
Fe 0.0000 0.0000 0.0000
Re 2.3841 2.3841 2.4478
Sb 0.0000 2.3841 0.0000
Sb 2.3841 0.0000 0.0000
Te 0.0000 0.0000 2.4478
```

Calculated values
* space-group type: P4/mmm
* N(E_F): 1.32 states/eV per atom

---

Which structure is most stable? model x, by 182 meV per atom over the runner-up.

---

Model w:
Below is a relaxed FeRe2SbW crystal, with properties calculated at the PBE level.

Cell and atoms, written as extended XYZ:
```
5
Lattice="4.7956 0.0000 0.0000 0.0000 4.7956 0.0000 0.0000 0.0000 4.8670" Properties=species:S:1:pos:R:3 pbc="T T T"
Fe 0.0000 0.0000 0.0000
Re 0.0000 2.3978 2.4335
Re 2.3978 0.0000 2.4335
Sb 2.3978 2.3978 2.4335
W 2.3978 2.3978 0.0000
```

Calculated values
* space-group type: P4/mmm
* N(E_F): 1.20 states/eV per atom

---

Model x:
Below is a relaxed FeRe2SbW crystal, with properties calculated at the PBE level.

Cell and atoms, written as extended XYZ:
```
5
Lattice="4.7549 0.0000 0.0000 0.0000 4.7549 0.0000 0.0000 0.0000 5.0236" Properties=species:S:1:pos:R:3 pbc="T T T"
Fe 0.0000 0.0000 0.0000
Re 0.0000 2.3774 2.5118
Re 2.3774 0.0000 2.5118
Sb 2.3774 2.3774 0.0000
W 2.3774 2.3774 2.5118
```

Calculated values
* space-group type: P4/mmm
* N(E_F): 1.59 states/eV per atom

---

Which structure is most stable? model x, by 338 meV per atom over the runner-up.